Here is crystalline PuCu5Br12 at its relaxed geometry from Alexandria. Energies are from GGA-PBE.

Formation energy from raw total energies ... -579 meV/atom
Magnetization ... 0.14 μB/atom
V ... 35.76 Å³ per atom
Calculated density ... 3.92 g/cm3

a b c (Å): 6.9163 6.9163 13.8671
angles (deg): 97.98 97.98 97.03
Closest atoms and distances in Å follow each position.
Positions (direct):
Pu  0.0000  0.0000  0.0000  6 Br 2.79-2.86
Cu  0.1667  0.8333  0.5000  4 Br 2.41
Cu  0.3209  0.6791  0.0000  4 Br 2.38-2.53
Cu  0.5000  0.5000  0.5000  4 Br 2.41
Cu  0.6791  0.3209  0.0000  4 Br 2.38-2.53
Cu  0.8333  0.1667  0.5000  4 Br 2.41
Br  0.1222  0.1222  0.6092  2 Cu 2.41
Br  0.1469  0.7635  0.8551  1 Cu 2.38
Br  0.2107  0.5436  0.3913  2 Cu 2.41
Br  0.2365  0.8531  0.1449  1 Cu 2.38
Br  0.3125  0.3125  0.0003  2 Cu 2.53
Br  0.4564  0.7893  0.6087  2 Cu 2.41
Br  0.5436  0.2107  0.3913  2 Cu 2.41
Br  0.6875  0.6875  0.9997  2 Cu 2.53
Br  0.7635  0.1469  0.8551  1 Cu 2.38
Br  0.7893  0.4564  0.6087  2 Cu 2.41
Br  0.8531  0.2365  0.1449  1 Cu 2.38
Br  0.8778  0.8778  0.3908  2 Cu 2.41